[1]
Entry from the Alexandria database: crystalline ScVCd2 at its relaxed geometry (PBE).

Cell and atoms, written as POSCAR:
```
ScVCd2
1.0
0.000 3.426 3.426
3.426 0.000 3.426
3.426 3.426 0.000
V Cd Sc
1 2 1
Direct
0.500 0.500 0.500 V
0.250 0.250 0.250 Cd
0.750 0.750 0.750 Cd
0.000 0.000 0.000 Sc
```

Results
Fermi-level density of states: 0.94 states/eV/atom
Energy relative to the elements: 0.084 eV/atom



[2]
Entry from the Alexandria database: crystalline Ta5Mo3 at its relaxed geometry (PBE).

Cell and atoms, written as POSCAR:
```
Ta5Mo3
1.0
2.850 0.000 0.001
-7.742 21.178 0.019
-2.850 3.992 2.282
Ta Mo
5 3
Direct
0.000 0.752 0.992 Ta
0.988 0.881 0.976 Ta
0.021 0.623 0.008 Ta
0.013 0.246 0.015 Ta
0.981 0.373 0.009 Ta
0.003 0.125 0.002 Mo
0.002 0.498 0.006 Mo
0.993 0.002 0.992 Mo
```

Results
Fermi-level density of states: 0.76 states/eV/atom
Energy relative to the elements: -0.103 eV/atom



[3]
Entry from the Alexandria database: crystalline TcIr2Pt at its relaxed geometry (PBE).

Cell and atoms, written as POSCAR:
```
TcIr2Pt
1.0
-2.385 2.449 8.504
-0.819 0.274 9.125
0.341 2.740 8.740
Tc Ir Pt
1 2 1
Direct
0.748 0.748 0.748 Tc
0.002 0.002 0.002 Ir
0.252 0.252 0.252 Ir
0.498 0.498 0.498 Pt
```

Results
Fermi-level density of states: 1.46 states/eV/atom
Energy relative to the elements: -0.034 eV/atom



[4]
Entry from the Alexandria database: crystalline Te3Pt at its relaxed geometry (PBE).

Cell and atoms, written as POSCAR:
```
Te3Pt
1.0
-2.902 3.477 -6.326
-0.272 0.731 -7.741
-4.010 -0.413 -6.654
Te Pt
3 1
Direct
0.731 0.731 0.731 Te
0.500 0.500 0.500 Te
0.269 0.269 0.269 Te
0.000 0.000 0.000 Pt
```

Results
Electronic total energy: -4.05 eV per atom
Fermi-level density of states: 0.69 states/eV/atom



[5]
Entry from the Alexandria database: crystalline AgPb2Cl5 at its relaxed geometry (PBE).

Cell and atoms, written as POSCAR:
```
AgPb2Cl5
1.0
0.709 6.353 -5.781
-2.372 -6.026 -6.913
-11.691 2.258 2.042
Cl Pb Ag
20 8 4
Direct
0.446 0.353 0.087 Cl
0.097 0.396 0.894 Cl
0.001 0.352 0.400 Cl
0.234 0.096 0.735 Cl
0.903 0.604 0.106 Cl
0.999 0.648 0.600 Cl
0.357 0.416 0.594 Cl
0.597 0.104 0.894 Cl
0.857 0.084 0.594 Cl
0.946 0.147 0.087 Cl
0.266 0.596 0.265 Cl
0.054 0.853 0.913 Cl
0.499 0.852 0.600 Cl
0.554 0.647 0.913 Cl
0.143 0.916 0.406 Cl
0.643 0.584 0.406 Cl
0.734 0.404 0.735 Cl
0.766 0.904 0.265 Cl
0.501 0.148 0.400 Cl
0.403 0.896 0.106 Cl
0.753 0.877 0.029 Pb
0.046 0.346 0.637 Pb
0.747 0.377 0.971 Pb
0.454 0.846 0.363 Pb
0.247 0.123 0.971 Pb
0.253 0.623 0.029 Pb
0.954 0.654 0.363 Pb
0.546 0.154 0.637 Pb
0.038 0.888 0.684 Ag
0.462 0.388 0.316 Ag
0.538 0.612 0.684 Ag
0.962 0.112 0.316 Ag
```

Results
Electronic total energy: -3.40 eV per atom
Fermi-level density of states: 0.00 states/eV/atom



[6]
Entry from the Alexandria database: crystalline Tb4U at its relaxed geometry (PBE).

Cell and atoms, written as POSCAR:
```
Tb4U
1.0
-1.504 -1.703 -5.082
4.891 -2.594 -0.578
-2.192 -4.621 2.197
U Tb
1 4
Direct
0.500 0.500 0.500 U
0.500 0.500 0.000 Tb
0.500 0.000 0.500 Tb
0.000 0.000 0.000 Tb
0.000 0.500 0.500 Tb
```

Results
Fermi-level density of states: 2.28 states/eV/atom
Energy relative to the elements: 0.806 eV/atom



[7]
Entry from the Alexandria database: crystalline Mg5Hg2PdAu2 at its relaxed geometry (PBE).

Cell and atoms, written as POSCAR:
```
Mg5Hg2PdAu2
1.0
3.226 0.000 0.000
0.000 11.239 0.000
0.000 0.000 11.239
Mg Hg Au Pd
10 4 4 2
Direct
0.500 0.529 0.695 Mg
0.500 0.195 0.029 Mg
0.500 0.695 0.471 Mg
0.500 0.500 0.000 Mg
0.500 0.471 0.305 Mg
0.500 0.000 0.500 Mg
0.500 0.805 0.971 Mg
0.500 0.305 0.529 Mg
0.500 0.029 0.805 Mg
0.500 0.971 0.195 Mg
0.000 0.674 0.174 Hg
0.000 0.826 0.674 Hg
0.000 0.174 0.326 Hg
0.000 0.326 0.826 Hg
0.000 0.861 0.361 Au
0.000 0.139 0.639 Au
0.000 0.361 0.139 Au
0.000 0.639 0.861 Au
0.000 0.500 0.500 Pd
0.000 0.000 0.000 Pd
```

Results
Fermi-level density of states: 0.18 states/eV/atom
Energy relative to the elements: -0.417 eV/atom



[8]
Entry from the Alexandria database: crystalline SmPa2Pb9 at its relaxed geometry (PBE).

Cell and atoms, written as POSCAR:
```
SmPa2Pb9
1.0
-1.209 4.664 0.401
-4.505 -1.046 -1.411
-3.845 -2.190 13.899
Sm Pa Pb
1 2 9
Direct
0.000 0.000 0.000 Sm
0.000 0.000 0.661 Pa
0.000 0.000 0.339 Pa
0.500 0.000 0.500 Pb
0.000 0.500 0.500 Pb
0.500 0.500 0.000 Pb
0.000 0.500 0.829 Pb
0.500 0.000 0.829 Pb
0.500 0.500 0.335 Pb
0.500 0.500 0.665 Pb
0.500 0.000 0.171 Pb
0.000 0.500 0.171 Pb
```

Results
Fermi-level density of states: 1.09 states/eV/atom
Energy relative to the elements: -0.111 eV/atom



[9]
Entry from the Alexandria database: crystalline RbTa2NbCu at its relaxed geometry (PBE).

Cell and atoms, written as POSCAR:
```
RbTa2NbCu
1.0
-2.293 3.939 -1.464
-1.697 0.631 4.358
3.833 2.644 1.110
Rb Ta Cu Nb
1 2 1 1
Direct
0.000 0.000 0.000 Rb
0.500 0.000 0.000 Ta
0.000 0.000 0.500 Ta
0.500 0.500 0.500 Cu
0.000 0.500 0.000 Nb
```

Results
Fermi-level density of states: 1.12 states/eV/atom
Energy relative to the elements: 3.174 eV/atom